Entry 1:
# Pr3Mg3TlAgHg

Crystalline Pr3Mg3TlAgHg at its relaxed geometry (PBE-GGA, OQMD).

Results
* V: 26.7 A^3/atom
* space group: No. 174

```
Pr3Mg3TlAgHg
1.0
7.776 0.000 0.000
-3.888 6.734 0.000
0.000 0.000 4.589
Pr Mg Tl Ag Hg
3 3 1 1 1
Direct
0.002 0.589 0.000
0.411 0.414 0.000
0.586 0.998 0.000
0.002 0.238 0.500
0.236 0.998 0.500
0.762 0.764 0.500
0.667 0.333 0.500
0.000 0.000 0.000
0.333 0.667 0.500
```

***

Entry 2:
# Tb2ErAl3CuNi2

Crystalline Tb2ErAl3CuNi2 at its relaxed geometry (PBE-GGA, OQMD).

Results
* V: 18.4 A^3/atom
* space group: No. 38

```
Tb2ErAl3CuNi2
1.0
3.918 0.000 0.000
0.000 6.049 3.485
0.000 -6.049 3.485
Tb Er Al Cu Ni
2 1 3 1 2
Direct
0.000 0.209 0.791
0.000 0.791 0.209
0.000 0.372 0.372
0.500 0.031 0.031
0.500 0.550 0.788
0.500 0.788 0.550
0.000 0.789 0.789
0.500 0.126 0.456
0.500 0.456 0.126
```

***

Final energy, record by record: -3.0637, -4.9829 eV per atom